Here is an optimized crystal structure of CsCa2Cu from Alexandria via LeMat-Bulk. Energies are from PBE-GGA.

**DOS at the Fermi energy**: 3.02 states/eV/f.u.
**Formation energy from the elements**: 0.137 eV per atom
**Volume**: 182.53 Å³/f.u.
**ΔE to the lowest computed polymorph**: 0.00 eV/f.u.

Cell: 4.273 4.273 11.802 Å, 79.57 79.57 60.00°
Element x y z (fractional)
1 Cs 0.000 0.000 0.000
2 Ca 0.122 0.122 0.635
3 Ca 0.878 0.878 0.365
4 Cu 0.500 0.500 0.500